# 1
BaGaTc: relaxed, PBE-GGA.

a = 4.302 Å, b = 4.303 Å, c = 11.406 Å
α = 79.60°, β = 79.47°, γ = 60.03°
Positions (direct):
Ba  0.766  0.762  0.195
Ba  0.234  0.238  0.805
Ga  0.038  0.037  0.383
Ga  0.962  0.963  0.617
Tc  0.659  0.660  0.522
Tc  0.341  0.340  0.478

Values from the calculation:
The value obtained for the offset from the most stable computed form is 0.000 eV per atom. Its space group is No. 2. The total moment is 0.00 μB/cell.

# 2
BaGaTc3: relaxed, PBE-GGA.

a = 4.822 Å, b = 4.822 Å, c = 4.822 Å
α = 90.00°, β = 90.00°, γ = 90.00°
Each line ends with the local moment (μB).
Positions (direct):
Ba  0.500  0.500  0.500  0.07
Ga  0.000  0.000  0.000  -0.04
Tc  0.000  0.500  0.000  1.59
Tc  0.000  0.000  0.500  1.57
Tc  0.500  0.000  0.000  1.23

Values from the calculation:
The value obtained for the offset from the most stable computed form is 0.000 eV per atom. Its space group is No. 221. The total moment is 5.12 μB/cell.

# 3
BaGa3Tc: relaxed, PBE-GGA.

a = 3.639 Å, b = 3.639 Å, c = 8.589 Å
α = 90.00°, β = 90.00°, γ = 90.00°
Positions (direct):
Ba  0.000  0.000  0.073
Ga  0.000  0.000  0.701
Ga  0.500  0.000  0.416
Ga  0.000  0.500  0.416
Tc  0.500  0.500  0.657

Values from the calculation:
The value obtained for the offset from the most stable computed form is 0.435 eV per atom. Its space group is No. 99. The total moment is 0.00 μB/cell.